# 1
VASP calculation (PBE) on RbNiCl2 after structural relaxation.

Cell lengths 7.263, 7.263, 7.263 Å; angles 90.00, 90.00, 90.00 degrees
Element x y z (fractional)
Rb (0.000, 0.000, 0.000)
Rb (0.000, 0.500, 0.500)
Rb (0.500, 0.000, 0.500)
Rb (0.500, 0.500, 0.000)
Ni (0.000, 0.000, 0.500)
Ni (0.000, 0.500, 0.000)
Ni (0.500, 0.000, 0.000)
Ni (0.500, 0.500, 0.500)
Cl (0.250, 0.250, 0.250)
Cl (0.250, 0.250, 0.750)
Cl (0.250, 0.750, 0.250)
Cl (0.250, 0.750, 0.750)
Cl (0.750, 0.250, 0.250)
Cl (0.750, 0.250, 0.750)
Cl (0.750, 0.750, 0.250)
Cl (0.750, 0.750, 0.750)

# 2
VASP calculation (PBE) on RbNiCl after structural relaxation.

Cell lengths 4.185, 4.186, 9.828 Å; angles 80.51, 85.09, 72.67 degrees
Element x y z (fractional)
Rb (0.000, 0.000, 0.000)
Rb (0.188, 0.079, 0.418)
Ni (0.584, 0.148, 0.701)
Ni (0.986, 0.551, 0.700)
Cl (0.451, 0.668, 0.733)
Cl (0.594, 0.539, 0.204)

# 3
VASP calculation (PBE) on RbNiCl6 after structural relaxation.

Cell lengths 11.026, 7.222, 7.311 Å; angles 90.00, 127.50, 90.00 degrees
Element x y z (fractional)
Rb (0.000, 0.000, 0.000)
Rb (0.500, 0.500, 0.000)
Ni (0.000, 0.500, 0.500)
Ni (0.500, 0.000, 0.500)
Cl (0.139, 0.261, 0.516)
Cl (0.139, 0.739, 0.516)
Cl (0.144, 0.500, 0.884)
Cl (0.356, 0.000, 0.116)
Cl (0.361, 0.239, 0.484)
Cl (0.361, 0.761, 0.484)
Cl (0.639, 0.239, 0.516)
Cl (0.639, 0.761, 0.516)
Cl (0.644, 0.000, 0.884)
Cl (0.856, 0.500, 0.116)
Cl (0.861, 0.261, 0.484)
Cl (0.861, 0.739, 0.484)

# 4
VASP calculation (PBE) on RbNiCl after structural relaxation.

Cell lengths 5.110, 13.982, 5.057 Å; angles 90.00, 90.00, 90.00 degrees
Element x y z (fractional)
Rb (0.000, 0.133, 0.250)
Rb (0.000, 0.867, 0.750)
Rb (0.500, 0.367, 0.750)
Rb (0.500, 0.633, 0.250)
Ni (0.000, 0.500, 0.000)
Ni (0.000, 0.500, 0.500)
Ni (0.500, 0.000, 0.000)
Ni (0.500, 0.000, 0.500)
Cl (0.000, 0.375, 0.250)
Cl (0.000, 0.625, 0.750)
Cl (0.500, 0.125, 0.750)
Cl (0.500, 0.875, 0.250)

# 5
VASP calculation (PBE) on RbNi3Cl after structural relaxation.

Cell lengths 4.445, 4.445, 4.445 Å; angles 90.00, 90.00, 90.00 degrees
Element x y z (fractional)
Rb (0.000, 0.000, 0.000)
Ni (0.000, 0.500, 0.500)
Ni (0.500, 0.000, 0.500)
Ni (0.500, 0.500, 0.000)
Cl (0.500, 0.500, 0.500)

# 6
VASP calculation (PBE) on RbNiCl3 after structural relaxation.

Cell lengths 7.086, 7.086, 5.942 Å; angles 90.00, 90.00, 120.00 degrees
Element x y z (fractional)
Rb (0.333, 0.667, 0.250)
Rb (0.667, 0.333, 0.750)
Ni (0.000, 0.000, 0.000)
Ni (0.000, 0.000, 0.500)
Cl (0.155, 0.309, 0.750)
Cl (0.155, 0.845, 0.750)
Cl (0.309, 0.155, 0.250)
Cl (0.691, 0.845, 0.750)
Cl (0.845, 0.155, 0.250)
Cl (0.845, 0.691, 0.250)

# 7
VASP calculation (PBE) on RbNiCl after structural relaxation.

Cell lengths 11.994, 3.521, 7.665 Å; angles 90.00, 105.92, 90.00 degrees
Element x y z (fractional)
Rb (0.000, 0.000, 0.000)
Rb (0.159, 0.500, 0.530)
Rb (0.500, 0.500, 0.000)
Rb (0.659, 0.000, 0.530)
Ni (0.321, 0.000, 0.197)
Ni (0.392, 0.500, 0.411)
Ni (0.821, 0.500, 0.197)
Ni (0.892, 0.000, 0.411)
Cl (0.233, 0.500, 0.011)
Cl (0.412, 0.000, 0.621)
Cl (0.733, 0.000, 0.011)
Cl (0.912, 0.500, 0.621)

# 8
VASP calculation (PBE) on RbNiCl after structural relaxation.

Cell lengths 5.642, 5.642, 8.315 Å; angles 90.00, 90.00, 120.00 degrees
Element x y z (fractional)
Rb (0.333, 0.667, 0.250)
Rb (0.667, 0.333, 0.750)
Ni (0.000, 0.000, 0.000)
Ni (0.000, 0.000, 0.500)
Cl (0.000, 0.000, 0.250)
Cl (0.000, 0.000, 0.750)

# 9
VASP calculation (PBE) on RbNiCl after structural relaxation.

Cell lengths 10.447, 3.511, 8.693 Å; angles 90.00, 90.00, 90.00 degrees
Element x y z (fractional)
Rb (0.212, 0.250, 0.020)
Rb (0.288, 0.750, 0.520)
Rb (0.712, 0.250, 0.480)
Rb (0.788, 0.750, 0.980)
Ni (0.015, 0.250, 0.594)
Ni (0.485, 0.750, 0.094)
Ni (0.515, 0.250, 0.906)
Ni (0.985, 0.750, 0.406)
Cl (0.047, 0.750, 0.767)
Cl (0.453, 0.250, 0.267)
Cl (0.547, 0.750, 0.733)
Cl (0.953, 0.250, 0.233)

# 10
VASP calculation (PBE) on Rb3NiCl6 after structural relaxation.

Cell lengths 7.452, 7.979, 12.901 Å; angles 90.00, 124.99, 90.00 degrees
Element x y z (fractional)
Rb (0.000, 0.000, 0.000)
Rb (0.000, 0.500, 0.500)
Rb (0.279, 0.070, 0.755)
Rb (0.279, 0.430, 0.255)
Rb (0.721, 0.570, 0.745)
Rb (0.721, 0.930, 0.245)
Ni (0.500, 0.000, 0.500)
Ni (0.500, 0.500, 0.000)
Cl (0.212, 0.026, 0.298)
Cl (0.212, 0.474, 0.798)
Cl (0.290, 0.654, 0.039)
Cl (0.290, 0.846, 0.539)
Cl (0.387, 0.233, 0.055)
Cl (0.387, 0.267, 0.555)
Cl (0.613, 0.733, 0.445)
Cl (0.613, 0.767, 0.945)
Cl (0.710, 0.154, 0.461)
Cl (0.710, 0.346, 0.961)
Cl (0.788, 0.526, 0.202)
Cl (0.788, 0.974, 0.702)

# 11
VASP calculation (PBE) on RbNi4Cl8 after structural relaxation.

Cell lengths 8.896, 8.896, 8.896 Å; angles 46.84, 46.84, 46.84 degrees
Element x y z (fractional)
Rb (0.000, 0.000, 0.000)
Ni (0.000, 0.000, 0.500)
Ni (0.000, 0.500, 0.000)
Ni (0.500, 0.000, 0.000)
Ni (0.500, 0.500, 0.500)
Cl (0.221, 0.221, 0.221)
Cl (0.224, 0.722, 0.722)
Cl (0.278, 0.278, 0.776)
Cl (0.278, 0.776, 0.278)
Cl (0.722, 0.224, 0.722)
Cl (0.722, 0.722, 0.224)
Cl (0.776, 0.278, 0.278)
Cl (0.779, 0.779, 0.779)

# 12
VASP calculation (PBE) on Rb3Ni2Cl7 after structural relaxation.

Cell lengths 13.244, 13.244, 13.244 Å; angles 158.80, 158.80, 30.16 degrees
Element x y z (fractional)
Rb (0.000, 0.000, 0.000)
Rb (0.181, 0.181, 0.000)
Rb (0.819, 0.819, 0.000)
Ni (0.406, 0.406, 0.000)
Ni (0.594, 0.594, 0.000)
Cl (0.093, 0.593, 0.500)
Cl (0.314, 0.314, 0.000)
Cl (0.407, 0.907, 0.500)
Cl (0.500, 0.500, 0.000)
Cl (0.593, 0.093, 0.500)
Cl (0.686, 0.686, 0.000)
Cl (0.907, 0.407, 0.500)

| no. | formation energy (no corrections) (eV/atom) |
| --- | --- |
| 1 | -0.41 |
| 2 | -0.56 |
| 3 | -0.65 |
| 4 | -0.56 |
| 5 | 0.76 |
| 6 | -1.16 |
| 7 | -0.50 |
| 8 | -0.38 |
| 9 | -0.50 |
| 10 | -1.35 |
| 11 | -0.74 |
| 12 | -1.22 |